[1]
BaMoAu2: single point on PBEsol structure, meta-GGA SCAN.

```
BaMoAu2
1.0
-2.301 2.860 3.789
2.301 -2.860 3.789
2.301 2.860 -3.789
Ba Mo Au
1 1 2
Direct
0.000 0.000 0.000
0.500 0.500 0.000
0.305 0.805 0.500
0.695 0.195 0.500
```

Computed properties:
Space-group type = Immm (71)
Energy above the most stable polymorph in this dataset = 0.0000 eV per atom
E_tot = -52.944 eV per atom
Formation energy = 23 kJ per mole of atoms



[2]
CaTe2Mo: single point on PBEsol structure, meta-GGA SCAN.

```
CaTe2Mo
1.0
3.962 -1.867 0.000
3.962 1.867 0.000
-1.699 0.000 6.519
Ca Te Mo
1 2 1
Direct
0.000 0.000 0.000
0.240 0.240 0.706
0.760 0.760 0.294
0.500 0.500 0.500
```

Computed properties:
Space-group type = C2/m (12)
Energy above the most stable polymorph in this dataset = 0.1208 eV per atom
Formation energy without anion corrections = -0.4155 eV/atom
E_tot = -30.178 eV per atom



[3]
NbBi2I: single point on PBEsol structure, meta-GGA SCAN.

```
NbBi2I
1.0
-3.392 3.392 7.130
3.392 -3.392 7.130
3.392 3.392 -7.130
Nb Bi I
2 4 2
Direct
0.000 0.000 0.000
0.750 0.250 0.500
0.037 0.625 0.912
0.375 0.287 0.412
0.713 0.125 0.088
0.875 0.963 0.588
0.250 0.750 0.500
0.500 0.500 0.000
```

Computed properties:
Space-group type = I-42d (122)
Formation energy without anion corrections = 0.6990 eV/atom
E_tot = -56.059 eV per atom